(1)
Entry from Alexandria via LeMat-Bulk: CaMgAuO2 at its PBEsol-relaxed geometry (SCAN).

```
CaMgAuO2
1.0
4.1450 0.0000 0.0000
0.0000 4.1450 0.0000
0.0000 0.0000 6.8967
Ca Mg Au O
1 1 1 2
Cartesian
0.0000 0.0000 0.0000
0.0000 0.0000 3.4483
2.0725 2.0725 3.4483
0.0000 2.0725 0.0000
2.0725 0.0000 0.0000
```

Properties
ΔE_f (raw) = -0.414 eV/atom

(2)
Entry from Alexandria via LeMat-Bulk: KZr2Sb at its PBEsol-relaxed geometry (SCAN).

```
KZr2Sb
1.0
2.0787 -2.5800 0.0000
2.0787 2.5800 0.0000
0.0000 0.0000 10.5556
K Zr Sb
1 2 1
Cartesian
0.0000 0.0000 0.0000
2.0787 0.0000 3.3705
2.0787 0.0000 7.1851
0.0000 0.0000 5.2778
```

Properties
ΔE_f (raw) = 0.189 eV/atom

(3)
Entry from Alexandria via LeMat-Bulk: AlCoN2F at its PBEsol-relaxed geometry (SCAN).

```
AlCoN2F
1.0
3.6792 0.0000 0.0000
0.0000 3.6792 0.0000
0.0000 0.0000 3.7008
Al Co N F
1 1 2 1
Cartesian
0.0000 0.0000 0.0000
1.8396 1.8396 1.8504
0.0000 1.8396 1.8504
1.8396 0.0000 1.8504
1.8396 1.8396 0.0000
```

Properties
ΔE_f (raw) = 0.180 eV/atom

(4)
Entry from Alexandria via LeMat-Bulk: ZnCu2Si at its PBEsol-relaxed geometry (SCAN).

```
ZnCu2Si
1.0
4.2787 -1.3370 0.0000
4.2787 1.3370 0.0000
-0.6121 0.0000 4.3266
Zn Cu Si
1 2 1
Cartesian
0.0000 0.0000 0.0000
1.6739 0.0000 3.3296
3.9939 0.0000 2.1842
6.3074 0.0000 1.2408
```

Properties
ΔE_f (raw) = 0.059 eV/atom

(5)
Entry from Alexandria via LeMat-Bulk: Mg4Zn5 at its PBEsol-relaxed geometry (SCAN).

```
Mg4Zn5
1.0
-4.2923 4.2923 2.0946
4.2923 -4.2923 2.0946
4.2923 4.2923 -2.0946
Mg Zn
4 5
Cartesian
2.7120 0.0000 0.0000
5.8725 0.0000 0.0000
0.0000 2.7120 0.0000
0.0000 5.8725 0.0000
0.0000 0.0000 0.0000
2.9347 2.9347 0.0000
1.3576 -1.3576 2.0946
-1.3576 1.3576 2.0946
1.3576 1.3576 2.0946
```

Properties
final energy = -9.792 eV per atom

(6)
Entry from Alexandria via LeMat-Bulk: CrMoNF2 at its PBEsol-relaxed geometry (SCAN).

```
CrMoNF2
1.0
3.8449 0.0000 0.0000
0.0000 3.8449 0.0000
0.0000 0.0000 3.9685
Cr Mo N F
1 1 1 2
Cartesian
0.0000 0.0000 0.0000
1.9224 1.9224 1.9843
0.0000 0.0000 1.9843
0.0000 1.9224 0.0000
1.9224 0.0000 0.0000
```

Properties
ΔE_f (raw) = -0.814 eV/atom
E above lowest polymorph = 0.0767 eV/atom

(7)
Entry from Alexandria via LeMat-Bulk: PtAu3 at its PBEsol-relaxed geometry (SCAN).

```
PtAu3
1.0
1.4009 -2.4264 0.0000
1.4009 2.4264 0.0000
0.0000 0.0000 9.7389
Pt Au
1 3
Cartesian
0.0000 0.0000 0.0000
0.0000 0.0000 4.8694
1.4009 0.0000 2.3998
1.4009 0.0000 7.3391
```

Properties
final energy = -69.386 eV per atom

(8)
Entry from Alexandria via LeMat-Bulk: CaTa2Tc at its PBEsol-relaxed geometry (SCAN).

```
CaTa2Tc
1.0
0.0000 3.2829 3.2829
3.2829 0.0000 3.2829
3.2829 3.2829 0.0000
Ca Ta Tc
1 2 1
Cartesian
0.0000 0.0000 0.0000
1.6414 1.6414 1.6414
4.9243 4.9243 4.9243
3.2829 3.2829 3.2829
```

Properties
E above lowest polymorph = 0.1312 eV/atom

(9)
Entry from Alexandria via LeMat-Bulk: BeCr2ReAu at its PBEsol-relaxed geometry (SCAN).

```
BeCr2ReAu
1.0
4.7739 0.0000 0.0000
0.0000 4.7739 0.0000
0.0000 0.0000 3.9979
Be Cr Re Au
1 2 1 1
Cartesian
0.0000 0.0000 0.0000
0.0000 2.3870 1.9989
2.3870 0.0000 1.9989
2.3870 2.3870 0.0000
0.0000 0.0000 1.9989
```

Properties
final energy = -34.876 eV per atom

(10)
Entry from Alexandria via LeMat-Bulk: CaTaSb2 at its PBEsol-relaxed geometry (SCAN).

```
CaTaSb2
1.0
0.0000 3.5563 3.5563
3.5563 0.0000 3.5563
3.5563 3.5563 0.0000
Ca Ta Sb
1 1 2
Cartesian
0.0000 0.0000 0.0000
3.5563 3.5563 3.5563
1.7782 1.7782 1.7782
5.3345 5.3345 5.3345
```

Properties
ΔE_f (raw) = -0.093 eV/atom
E above lowest polymorph = 0.2415 eV/atom

(11)
Entry from Alexandria via LeMat-Bulk: KScMnH2 at its PBEsol-relaxed geometry (SCAN).

```
KScMnH2
1.0
4.0696 0.0000 0.0000
0.0000 4.0696 0.0000
0.0000 0.0000 6.6078
K Sc Mn H
1 1 1 2
Cartesian
0.0000 0.0000 0.0000
0.0000 0.0000 3.3039
2.0348 2.0348 0.0000
0.0000 2.0348 3.3039
2.0348 0.0000 3.3039
```

Properties
final energy = -8.812 eV per atom

(12)
Entry from Alexandria via LeMat-Bulk: BaNb2GeH at its PBEsol-relaxed geometry (SCAN).

```
BaNb2GeH
1.0
5.1258 0.0000 0.0000
0.0000 5.1258 0.0000
0.0000 0.0000 3.6542
Ba Nb Ge H
1 2 1 1
Cartesian
0.0000 0.0000 0.0000
0.0000 2.5629 1.8271
2.5629 0.0000 1.8271
2.5629 2.5629 1.8271
2.5629 2.5629 0.0000
```

Properties
final energy = -24.526 eV per atom